## Pr2DyCo (GGA-PBE)

Data for Pr2DyCo after structural relaxation.

Lattice parameters (Å, degrees): 5.3727 5.3727 13.0251 90.00 90.00 120.00
Space group R-3m (No. 166, hexagonal axes)
Inequivalent atoms, fractional coordinates:
Pr1 0.0000 0.0000 0.2489 [6 per cell]
Dy1 0.0000 0.0000 0.5000 [3 per cell]
Co1 0.0000 0.0000 0.0000 [3 per cell]

Crystal system: trigonal
Relative energy among the computed polymorphs, meV per atom: 442

=====

## Pr2Dy3Co2 (GGA-PBE)

Data for Pr2Dy3Co2 after structural relaxation.

Lattice parameters (Å, degrees): 12.275 3.665 9.081 90.00 116.59 90.00
Space group C2/m (No. 12)
Inequivalent atoms, fractional coordinates:
Pr1 0.170 0.000 0.301 [4 per cell]
Dy1 0.000 0.500 0.500 [2 per cell]
Dy2 0.120 0.500 0.924 [4 per cell]
Co1 0.176 0.000 0.744 [4 per cell]

Crystal system: monoclinic

=====

## Pr2DyCo (GGA-PBE)

Data for Pr2DyCo after structural relaxation.

Lattice parameters (Å, degrees): 3.560 3.560 8.880 90.00 90.00 90.00
Space group P4/mmm (No. 123)
Inequivalent atoms, fractional coordinates:
Pr1 0.000 0.000 0.193 [2 per cell]
Dy1 0.500 0.500 0.500 [1 per cell]
Co1 0.500 0.500 0.000 [1 per cell]

Crystal system: tetragonal
Relative energy among the computed polymorphs, meV per atom: 173

=====

## PrDy2Co9 (GGA-PBE)

Data for PrDy2Co9 after structural relaxation.

Lattice parameters (Å, degrees): 5.0291 5.0291 24.3204 90.00 90.00 120.00
Space group R-3m (No. 166, hexagonal axes)
Inequivalent atoms, fractional coordinates:
Pr1 0.0000 0.0000 0.0000 [3 per cell]
Dy1 0.0000 0.0000 0.1403 [6 per cell]
Co1 0.0000 0.0000 0.3351 [6 per cell]
Co2 0.0000 0.0000 0.5000 [3 per cell]
Co3 0.0034 0.5017 0.9177 [18 per cell]

Crystal system: trigonal

=====

## PrDyCo (GGA-PBE)

Data for PrDyCo after structural relaxation.

Lattice parameters (Å, degrees): 3.9654 3.9654 6.2525 90.00 90.00 120.00
Space group P3m1 (No. 156)
Inequivalent atoms, fractional coordinates:
Pr1 0.0000 0.0000 0.0000 [1 per cell]
Dy1 0.3333 0.6667 0.5366 [1 per cell]
Co1 0.6667 0.3333 0.7588 [1 per cell]

Crystal system: trigonal
Relative energy among the computed polymorphs, meV per atom: 79

=====

## Pr2DyCo (GGA-PBE)

Data for Pr2DyCo after structural relaxation.

Lattice parameters (Å, degrees): 3.8573 3.8573 27.7888 90.00 90.00 120.00
Space group R3m (No. 160, hexagonal axes)
Inequivalent atoms, fractional coordinates:
Pr1 0.0000 0.0000 0.0000 [3 per cell]
Pr2 0.0000 0.0000 0.2158 [3 per cell]
Dy1 0.0000 0.0000 0.4416 [3 per cell]
Co1 0.0000 0.0000 0.6075 [3 per cell]

Crystal system: trigonal
Relative energy among the computed polymorphs, meV per atom: 174

=====

## PrDyCo (GGA-PBE)

Data for PrDyCo after structural relaxation.

Lattice parameters (Å, degrees): 6.739 6.785 8.107 90.00 122.50 90.00
Space group P2_1/c (No. 14)
Inequivalent atoms, fractional coordinates:
Pr1 0.193 0.158 0.418 [4 per cell]
Dy1 0.309 0.659 0.597 [4 per cell]
Co1 0.288 0.523 0.282 [4 per cell]

Crystal system: monoclinic
Relative energy among the computed polymorphs, meV per atom: 71

=====

## PrDyCo (GGA-PBE)

Data for PrDyCo after structural relaxation.

Lattice parameters (Å, degrees): 6.762 6.762 6.762 90.00 90.00 90.00
Space group F-43m (No. 216)
Inequivalent atoms, fractional coordinates:
Pr1 0.000 0.000 0.000 [4 per cell]
Dy1 0.000 0.000 0.500 [4 per cell]
Co1 0.250 0.250 0.250 [4 per cell]

Crystal system: cubic
Relative energy among the computed polymorphs, meV per atom: 111

=====

## PrDyCo (GGA-PBE)

Data for PrDyCo after structural relaxation.

Lattice parameters (Å, degrees): 6.236 3.746 6.915 90.00 91.26 90.00
Space group P2_1/m (No. 11)
Inequivalent atoms, fractional coordinates:
Pr1 0.141 0.250 0.311 [2 per cell]
Dy1 0.349 0.250 0.810 [2 per cell]
Co1 0.390 0.750 0.530 [2 per cell]

Crystal system: monoclinic
Relative energy among the computed polymorphs, meV per atom: 40

=====

## PrDy6Co2 (GGA-PBE)

Data for PrDy6Co2 after structural relaxation.

Lattice parameters (Å, degrees): 9.417 9.999 10.143 90.00 90.00 90.00
Space group Immm (No. 71)
Inequivalent atoms, fractional coordinates:
Pr1 0.000 0.000 0.000 [2 per cell]
Pr2 0.000 0.500 0.000 [2 per cell]
Dy1 0.000 0.233 0.222 [8 per cell]
Dy2 0.185 0.183 0.500 [8 per cell]
Dy3 0.208 0.500 0.312 [8 per cell]
Co1 0.000 0.000 0.338 [4 per cell]
Co2 0.000 0.388 0.500 [4 per cell]

Crystal system: orthorhombic

=====

Number 1: ΔE_f 0.369 eV per atom. Number 2: ΔE_f -0.120 eV per atom. Number 3: ΔE_f 0.100 eV per atom. Number 4: ΔE_f -0.127 eV per atom. Number 5: ΔE_f -0.009 eV per atom. Number 6: ΔE_f 0.102 eV per atom. Number 7: ΔE_f -0.018 eV per atom. Number 8: ΔE_f 0.022 eV per atom. Number 9: ΔE_f -0.049 eV per atom. Number 10: ΔE_f -0.046 eV per atom.